Entry 1:
Sc4UP5 | the Alexandria database | GGA-PBE | relaxed; E_form = -13.8 eV per formula unit; electronic total energy = -7.749 eV per atom; total magnetic moment = 2.1 μB/f.u.
1.0
-2.890 2.234 0.997
-3.317 -4.244 -0.105
4.964 -0.676 8.712
Sc U P
4 1 5
direct
0.397 0.397 0.794
0.796 0.796 0.592
0.204 0.204 0.408
0.603 0.603 0.206
0.000 0.000 0.000
0.604 0.104 0.207
0.800 0.300 0.600
0.200 0.700 0.400
0.000 0.500 0.000
0.396 0.896 0.793



Entry 2:
ScU2P3 | the Alexandria database | GGA-PBE | relaxed; E_form = -6.9 eV per formula unit; electronic total energy = -8.665 eV per atom; total magnetic moment = 4.4 μB/f.u.
1.0
-1.972 -1.131 6.330
6.440 -1.810 -0.701
1.108 12.214 0.146
Sc U P
4 8 12
direct
0.916 0.916 0.833
0.334 0.834 0.667
0.166 0.666 0.333
0.084 0.084 0.167
0.999 0.499 0.999
0.417 0.417 0.835
0.833 0.333 0.665
0.251 0.251 0.501
0.749 0.749 0.499
0.667 0.167 0.335
0.583 0.583 0.165
0.501 0.001 0.001
0.166 0.674 0.831
0.664 0.157 0.831
0.084 0.076 0.669
0.586 0.593 0.669
0.010 0.510 0.500
0.490 0.990 0.500
0.407 0.414 0.331
0.924 0.916 0.331
0.843 0.336 0.169
0.326 0.834 0.169
0.240 0.240 0.000
0.760 0.760 0.000



Entry 3:
Y2ScUP4 | the Alexandria database | GGA-PBE | relaxed; E_form = -11.4 eV per formula unit; electronic total energy = -7.943 eV per atom; total magnetic moment = 2.0 μB/f.u.
1.0
3.923 0.000 0.000
0.000 6.778 0.125
0.000 -2.363 6.394
Y Sc U P
2 1 1 4
direct
0.500 0.000 0.500
0.000 0.500 0.500
0.000 0.000 0.000
0.500 0.500 0.000
0.500 0.244 0.235
0.500 0.756 0.765
0.000 0.250 0.760
0.000 0.750 0.240



Entry 4:
YSc2UP4 | the Alexandria database | GGA-PBE | relaxed; E_form = -11.1 eV per formula unit; electronic total energy = -7.895 eV per atom; total magnetic moment = 2.0 μB/f.u.
1.0
3.862 0.000 0.000
0.000 6.659 -0.129
0.000 2.346 6.289
Y Sc U P
1 2 1 4
direct
0.000 0.500 0.500
0.000 0.000 0.000
0.500 0.000 0.500
0.500 0.500 0.000
0.000 0.762 0.749
0.000 0.238 0.251
0.500 0.762 0.240
0.500 0.238 0.760



Entry 5:
ScV3P | the Alexandria database | GGA-PBE | relaxed; energy above the lowest structure with this stoichiometry = 162.5 kJ per mole of atoms; E_form = 8.7 eV per formula unit; electronic total energy = -6.088 eV per atom; total magnetic moment = 0.0 μB/f.u.
1.0
-2.786 -1.261 3.166
-2.800 -1.483 -3.055
1.942 -3.948 0.137
Sc P V
1 1 3
direct
0.000 0.000 0.000
0.500 0.500 0.500
0.000 0.500 0.000
0.000 0.000 0.500
0.500 0.000 0.000



Entry 6:
ScV2P2 | the Alexandria database | GGA-PBE | relaxed; energy above the lowest structure with this stoichiometry = 23.5 kJ per mole of atoms; E_form = -2.6 eV per formula unit; electronic total energy = -7.603 eV per atom; total magnetic moment = 0.0 μB/f.u.
1.0
4.487 0.000 0.000
0.000 4.487 0.000
2.244 2.244 3.858
Sc P V
1 2 2
direct
0.000 0.000 0.000
0.750 0.250 0.500
0.250 0.750 0.500
0.370 0.370 0.259
0.630 0.630 0.741